1.
VASP calculation (PBE) on a relaxed structure of Na3NpSn2Se6.

a = 7.3872 Å, b = 12.8020 Å, c = 7.2750 Å
α = 90.00°, β = 109.92°, γ = 90.00°
Space group C2/m (No. 12)
One atom of each set of equivalent atoms:
Na  0.0000  0.0000  0.0000
Na  0.0000  0.3267  0.0000
Np  0.0000  0.5000  0.5000
Sn  0.0000  0.1656  0.5000
Se  0.2333  0.3433  0.7299
Se  0.2359  0.5000  0.2724

- E_form (uncorrected) (eV/atom) = -0.90
- Fermi-level density of states (states/eV/cell) = 18.833
- calculated volume (A^3/atom) = 27.0
- final energy (eV/cell) = -113.2
- density (Mg/m³) = 5.2

2.
VASP calculation (PBE) on a relaxed structure of Si4TcOs2.

a = 4.4721 Å, b = 4.4721 Å, c = 12.1122 Å
α = 90.00°, β = 90.00°, γ = 90.00°
Space group I4/mmm (No. 139)
One atom of each set of equivalent atoms:
Si  0.0000  0.0000  0.2019
Si  0.0000  0.5000  0.0000
Tc  0.0000  0.0000  0.0000
Os  0.0000  0.0000  0.3904

- E_form (uncorrected) (eV/atom) = 0.67
- Fermi-level density of states (states/eV/cell) = 11.235
- calculated volume (A^3/atom) = 17.3
- final energy (eV/cell) = -99.6
- density (Mg/m³) = 8.1

3.
VASP calculation (PBE) on a relaxed structure of ScFeIr3.

a = 4.5029 Å, b = 4.5029 Å, c = 4.5029 Å
α = 90.00°, β = 90.00°, γ = 90.00°
Space group Pm-3m (No. 221)
One atom of each set of equivalent atoms:
Sc  0.0000  0.0000  0.0000
Fe  0.5000  0.5000  0.5000
Ir  0.0000  0.5000  0.5000

- Fermi-level density of states (states/eV/cell) = 5.261
- calculated volume (A^3/atom) = 18.3
- distance to the lowest polymorph of the same formula (eV per atom) = 0.0000
- final energy (eV/cell) = -38.2
- density (Mg/m³) = 12.3

4.
VASP calculation (PBE) on a relaxed structure of LaMnN3.

a = 5.2049 Å, b = 5.2049 Å, c = 15.5130 Å
α = 90.00°, β = 90.00°, γ = 120.00°
Space group R-3 (No. 148, hexagonal axes)
One atom of each set of equivalent atoms:
La  0.0000  0.0000  0.1176
Mn  0.0000  0.0000  0.3459
N  0.0076  0.4908  0.9236

- E_form (uncorrected) (eV/atom) = -0.32
- Fermi-level density of states (states/eV/cell) = 8.019
- calculated volume (A^3/atom) = 12.1
- final energy (eV/cell) = -244.2
- density (Mg/m³) = 6.5

5.
VASP calculation (PBE) on a relaxed structure of Cd2Cu2Pd.

a = 6.6813 Å, b = 6.6813 Å, c = 3.7428 Å
α = 90.00°, β = 90.00°, γ = 90.00°
Space group P4/mbm (No. 127)
One atom of each set of equivalent atoms:
Cd  0.1743  0.3257  0.0000
Cu  0.1273  0.6273  0.5000
Pd  0.0000  0.0000  0.5000

- Fermi-level density of states (states/eV/cell) = 3.123
- calculated volume (A^3/atom) = 16.7
- distance to the lowest polymorph of the same formula (eV per atom) = 0.0000
- final energy (eV/cell) = -30.6
- density (Mg/m³) = 9.1

6.
VASP calculation (PBE) on a relaxed structure of TaTl2CrPd.

a = 5.4478 Å, b = 5.4478 Å, c = 4.5515 Å
α = 90.00°, β = 90.00°, γ = 90.00°
Space group P4/mmm (No. 123)
One atom of each set of equivalent atoms:
Ta  0.0000  0.0000  0.0000
Tl  0.0000  0.5000  0.0000
Cr  0.0000  0.0000  0.5000
Pd  0.5000  0.5000  0.5000

- Fermi-level density of states (states/eV/cell) = 4.292
- calculated volume (A^3/atom) = 27.0
- final energy (eV/cell) = -25.1
- density (Mg/m³) = 9.2

7.
VASP calculation (PBE) on a relaxed structure of BaIn6Bi4.

a = 9.2716 Å, b = 9.2716 Å, c = 4.9691 Å
α = 90.00°, β = 90.00°, γ = 120.00°
Space group P-6m2 (No. 187)
One atom of each set of equivalent atoms:
Ba  0.0000  0.0000  0.0000
In  0.0801  0.5400  0.0000
In  0.4018  0.2009  0.5000
Bi  0.1879  0.3758  0.5000
Bi  0.6667  0.3333  0.0000

- Fermi-level density of states (states/eV/cell) = 3.116
- calculated volume (A^3/atom) = 33.6
- final energy (eV/cell) = -35.2
- density (Mg/m³) = 7.5

8.
VASP calculation (PBE) on a relaxed structure of CaCoCl4.

a = 8.3740 Å, b = 8.3740 Å, c = 8.3740 Å
α = 90.00°, β = 90.00°, γ = 90.00°
Space group F-43m (No. 216)
One atom of each set of equivalent atoms:
Ca  0.0000  0.0000  0.0000
Co  0.2500  0.2500  0.2500
Cl  0.1244  0.1244  0.6244

- E_form (uncorrected) (eV/atom) = 0.14
- Fermi-level density of states (states/eV/cell) = 36.473
- calculated volume (A^3/atom) = 24.5
- distance to the lowest polymorph of the same formula (eV per atom) = 1.5745
- final energy (eV/cell) = -62.6
- density (Mg/m³) = 2.7

9.
VASP calculation (PBE) on a relaxed structure of Ag2HgCl2F2.

a = 12.8679 Å, b = 3.8866 Å, c = 6.4494 Å
α = 90.00°, β = 114.10°, γ = 90.00°
Space group C2/m (No. 12)
One atom of each set of equivalent atoms:
Ag  0.2170  0.0000  0.2179
Hg  0.0000  0.0000  0.5000
Cl  0.1010  0.5000  0.3312
F  0.1659  0.0000  0.8122

- E_form (uncorrected) (eV/atom) = -0.83
- calculated volume (A^3/atom) = 21.0
- final energy (eV/cell) = -38.5
- density (Mg/m³) = 5.9

10.
VASP calculation (PBE) on a relaxed structure of Ce2DyPd.

a = 5.2279 Å, b = 5.2279 Å, c = 12.8518 Å
α = 90.00°, β = 90.00°, γ = 120.00°
Space group R-3m (No. 166, hexagonal axes)
One atom of each set of equivalent atoms:
Ce  0.0000  0.0000  0.2502
Dy  0.0000  0.0000  0.5000
Pd  0.0000  0.0000  0.0000

- Fermi-level density of states (states/eV/cell) = 33.511
- calculated volume (A^3/atom) = 25.3
- distance to the lowest polymorph of the same formula (eV per atom) = 0.2087
- final energy (eV/cell) = -65.3
- density (Mg/m³) = 9.0

11.
VASP calculation (PBE) on a relaxed structure of AcHgPd.

a = 6.6241 Å, b = 6.6241 Å, c = 6.5497 Å
α = 90.00°, β = 90.00°, γ = 120.00°
Space group P3_2 (No. 145)
One atom of each set of equivalent atoms:
Ac  0.0469  0.6942  0.0000
Hg  0.4998  0.3843  0.1805
Pd  0.0432  0.1942  0.0648

- Fermi-level density of states (states/eV/cell) = 6.074
- calculated volume (A^3/atom) = 27.7
- distance to the lowest polymorph of the same formula (eV per atom) = 0.1682
- final energy (eV/cell) = -33.7
- density (Mg/m³) = 10.7

12.
VASP calculation (PBE) on a relaxed structure of Sr3Br3N.

a = 8.7099 Å, b = 13.5474 Å, c = 7.8128 Å
α = 90.00°, β = 102.03°, γ = 90.00°
Space group C2/m (No. 12)
One atom of each set of equivalent atoms:
Sr  0.0952  0.0000  0.3268
Sr  0.1978  0.3618  0.2349
Br  0.0000  0.1791  0.0000
Br  0.0000  0.2627  0.5000
Br  0.1202  0.5000  0.8557
N  0.1747  0.0000  0.6404

- E_form (uncorrected) (eV/atom) = -1.60
- calculated volume (A^3/atom) = 32.2
- distance to the lowest polymorph of the same formula (eV per atom) = 0.0063
- final energy (eV/cell) = -118.4
- density (Mg/m³) = 3.8